No. 1
Here is a geometry-optimized Dy3MgIn2AgPd2 structure from OQMD via LeMat-Bulk. Energies are from PBE-GGA.

Structure (extended XYZ):
```
9
Lattice="3.8519 0.0000 0.0000 0.0000 6.7345 3.8746 0.0000 -6.7345 3.8746" Properties=species:S:1:pos:R:3 pbc="T T T"
Dy 0.0000 0.0000 0.0000
Dy 0.0000 -2.8019 3.0078
Dy 0.0000 2.8019 3.0078
Mg 1.9260 0.0000 2.5627
In 1.9260 -1.7736 5.5915
In 1.9260 1.7736 5.5915
Ag 0.0000 0.0000 4.5013
Pd 1.9260 -4.5250 4.6148
Pd 1.9260 4.5250 4.6148
```

Computed properties:
uncorrected energy = -0.325 Ry/atom
SG = No. 38



No. 2
Here is a geometry-optimized BeGaFeBi structure from OQMD via LeMat-Bulk. Energies are from PBE-GGA.

Structure (extended XYZ):
```
4
Lattice="0.0000 3.2817 3.2817 3.2817 0.0000 3.2817 3.2817 3.2817 0.0000" Properties=species:S:1:pos:R:3 pbc="T T T"
Be 0.0000 0.0000 0.0000
Ga 3.2817 3.2817 3.2817
Fe 1.6408 1.6408 1.6408
Bi 4.9225 4.9225 4.9225
```

Computed properties:
uncorrected energy = -0.298 Ry/atom
SG = No. 216
polymorph energy (0 for the lowest one) = 0.088 eV per atom



No. 3
Here is a geometry-optimized ZrUB structure from OQMD via LeMat-Bulk. Energies are from PBE-GGA.

Structure (extended XYZ):
```
3
Lattice="0.0000 3.0684 3.0684 3.0684 0.0000 3.0684 3.0684 3.0684 0.0000" Properties=species:S:1:pos:R:3 pbc="T T T"
Zr 0.0000 0.0000 0.0000
U 4.6026 4.6026 4.6026
B 3.0684 3.0684 3.0684
```

Computed properties:
uncorrected energy = -0.549 Ry/atom
SG = No. 216
polymorph energy (0 for the lowest one) = 1.045 eV per atom



No. 4
Here is a geometry-optimized TcAsOsO structure from OQMD via LeMat-Bulk. Energies are from PBE-GGA.

Structure (extended XYZ):
```
8
Lattice="4.0852 0.0000 0.0000 0.0000 4.0852 0.0000 0.0000 0.0000 6.1064" Properties=species:S:1:pos:R:3 pbc="T T T"
Tc 1.0213 3.0639 0.0000
Tc 3.0639 1.0213 0.0000
As 1.0213 1.0213 1.4038
As 3.0639 3.0639 4.7027
Os 1.0213 1.0213 4.0612
Os 3.0639 3.0639 2.0452
O 1.0213 3.0639 3.0532
O 3.0639 1.0213 3.0532
```

Computed properties:
uncorrected energy = -0.559 Ry/atom
SG = No. 129
polymorph energy (0 for the lowest one) = 0.392 eV per atom



No. 5
Here is a geometry-optimized Pr2NdMg3Ir2Pt structure from OQMD via LeMat-Bulk. Energies are from PBE-GGA.

Structure (extended XYZ):
```
9
Lattice="4.1294 0.0000 0.0000 0.0000 6.5063 3.7574 0.0000 -6.5063 3.7574" Properties=species:S:1:pos:R:3 pbc="T T T"
Pr 0.0000 -3.8035 3.7574
Pr 0.0000 3.8035 3.7574
Nd 0.0000 0.0000 4.6764
Mg 2.0647 -1.5784 2.4788
Mg 2.0647 1.5784 2.4788
Mg 2.0647 0.0000 7.2432
Ir 2.0647 -2.1544 5.3147
Ir 2.0647 2.1544 5.3147
Pt 0.0000 0.0000 1.5713
```

Computed properties:
uncorrected energy = -0.400 Ry/atom
SG = No. 38



No. 6
Here is a geometry-optimized IrSe2 structure from OQMD via LeMat-Bulk. Energies are from PBE-GGA.

Structure (extended XYZ):
```
24
Lattice="21.1469 0.0000 0.0000 0.0000 3.7879 0.0000 0.0000 0.0000 5.9853" Properties=species:S:1:pos:R:3 pbc="T T T"
Ir 1.6153 0.9470 0.4189
Ir 4.1174 2.8409 3.3411
Ir 6.4561 0.9470 0.3485
Ir 8.9582 2.8409 3.4115
Ir 12.1887 0.9470 2.5737
Ir 14.6909 2.8409 5.6368
Ir 17.0295 0.9470 2.6442
Ir 19.5317 2.8409 5.5663
Se 0.1866 2.8409 1.3502
Se 2.5642 0.9470 2.7139
Se 2.9241 2.8409 5.5514
Se 5.0460 2.8409 1.0878
Se 5.5275 0.9470 4.0804
Se 7.6493 0.9470 2.5587
Se 8.0092 2.8409 5.7066
Se 10.3869 0.9470 4.3428
Se 10.7600 2.8409 1.6425
Se 13.1377 0.9470 0.2787
Se 13.4976 2.8409 3.4265
Se 15.6194 2.8409 1.9049
Se 16.1010 0.9470 4.8975
Se 18.2228 0.9470 0.4339
Se 18.5827 2.8409 3.2713
Se 20.9604 0.9470 4.6351
```

Computed properties:
uncorrected energy = -0.412 Ry/atom
SG = No. 62



No. 7
Here is a geometry-optimized NiCl2 structure from OQMD via LeMat-Bulk. Energies are from PBE-GGA.

Structure (extended XYZ):
```
6
Lattice="0.0000 3.8372 3.8372 3.8372 0.0000 3.8372 3.8372 3.8372 0.0000" Properties=species:S:1:pos:R:3 pbc="T T T"
Ni 0.9593 0.9593 0.9593
Ni 6.7151 6.7151 6.7151
Cl 3.8372 1.9186 1.9186
Cl 1.9186 3.8372 1.9186
Cl 1.9186 1.9186 3.8372
Cl 3.8372 3.8372 3.8372
```

Computed properties:
uncorrected energy = -0.132 Ry/atom
SG = No. 227



No. 8
Here is a geometry-optimized Zr4Sc2Ge3C3 structure from OQMD via LeMat-Bulk. Energies are from PBE-GGA.

Structure (extended XYZ):
```
24
Lattice="5.0082 -2.8923 0.0000 5.0082 2.8923 0.0000 -3.3494 0.0000 13.8441" Properties=species:S:1:pos:R:3 pbc="T T T"
Zr 0.8367 0.4942 1.2592
Zr 0.8449 0.4743 5.6631
Zr -0.8381 -0.4942 8.1813
Zr -0.8299 -0.4743 12.5852
Zr 7.4967 0.4743 1.2590
Zr 7.5049 0.4942 5.6628
Zr 5.8220 -0.4743 8.1810
Zr 5.8302 -0.4942 12.5849
Sc 4.1851 0.4786 1.2726
Sc 4.1565 0.4786 5.6495
Sc 2.5104 -0.4786 8.1946
Sc 2.4817 -0.4786 12.5716
Ge 4.1708 2.4569 3.4610
Ge 0.8432 0.5006 10.3759
Ge 2.5179 -0.5006 3.4539
Ge 4.1489 0.5006 10.3903
Ge 5.8236 -0.5006 3.4682
Ge 2.4961 -2.4569 10.3831
C 2.5041 1.4462 0.0000
C 2.4867 1.4674 6.9221
C 5.8548 1.4674 0.0000
C 0.8294 -1.4462 6.9221
C 4.1615 -1.4674 0.0000
C 4.1801 -1.4674 6.9221
```

Computed properties:
uncorrected energy = -0.598 Ry/atom
SG = No. 15